Entry 1:
Density functional theory data (PBE-GGA) for a relaxed K9Ta10O30 crystal.

- energy relative to the elements, uncorrected (eV/atom) = -2.63
- symmetry = No. 2

a b c (Å): 8.9974 8.9968 8.9970
angles (deg): 90.00 113.58 101.54
Closest atoms and distances in Å follow each position.
Fractional positions:
O  0.5000  0.3993  0.3027  2 Ta 1.99-2.00
O  0.7521  0.6514  0.3026  2 Ta 1.99-2.00
O  0.7498  0.0499  0.0999  2 Ta 2.02-2.03
O  0.2501  0.1502  0.3000  2 Ta 2.01-2.03
O  0.5002  0.1974  0.8992  2 Ta 1.98-2.01
O  0.7499  0.8498  0.7000  2 Ta 2.01-2.03
O  0.2500  0.4500  0.4000  2 Ta 2.02
O  0.7522  0.3488  0.2018  2 Ta 1.99-2.00
O  0.2477  0.5505  0.1008  2 Ta 1.99-2.00
O  0.2478  0.6512  0.7982  2 Ta 1.99-2.00
O  0.0002  0.1001  0.7001  2 Ta 2.00-2.04
O  0.9999  0.3000  0.1000  2 Ta 2.02-2.03
O  0.0000  0.5000  0.5000  2 Ta 2.02
O  0.7500  0.1501  0.8002  2 Ta 2.01-2.03
O  0.0001  0.7000  0.9000  2 Ta 2.02-2.03
O  0.2500  0.7498  0.5000  2 Ta 2.01-2.03
O  0.5000  0.0000  0.5000  2 Ta 2.02
O  0.2501  0.0500  0.6003  2 Ta 2.01-2.03
O  0.7500  0.2502  0.5000  2 Ta 2.01-2.03
O  0.7521  0.7521  0.9999  2 Ta 1.99-2.00
O  0.2479  0.3486  0.6974  2 Ta 1.99-2.00
O  0.4998  0.8026  0.1008  2 Ta 1.98-2.01
O  0.2479  0.2479  0.0001  2 Ta 1.99-2.00
O  0.5000  0.6007  0.6973  2 Ta 1.99-2.00
O  0.2502  0.9501  0.9001  2 Ta 2.02-2.03
O  0.2500  0.8499  0.1998  2 Ta 2.01-2.03
O  0.9998  0.8999  0.2999  2 Ta 2.00-2.04
O  0.7523  0.4495  0.8992  2 Ta 1.99-2.00
O  0.7499  0.9500  0.3997  2 Ta 2.01-2.03
O  0.7500  0.5500  0.6000  2 Ta 2.02
K  0.0007  0.4001  0.7996  12 O 2.83-2.85
K  0.5001  0.1011  0.2002  12 O 2.83-2.85
K  0.4998  0.7001  0.3989  12 O 2.83-2.85
K  0.0000  0.0000  0.0000  12 O 2.82-2.85
K  0.9999  0.8007  0.6006  12 O 2.82-2.85
K  0.5002  0.2999  0.6011  12 O 2.83-2.85
K  0.4999  0.8989  0.7998  12 O 2.83-2.85
K  0.0001  0.1993  0.3994  12 O 2.82-2.85
K  0.9993  0.5999  0.2004  12 O 2.83-2.85
Ta  0.2516  0.5488  0.6029  6 O 1.99-2.03
Ta  0.7475  0.6478  0.8013  6 O 1.99-2.03
Ta  0.2489  0.9499  0.3996  6 O 2.00-2.02
Ta  0.2505  0.7480  0.9987  6 O 1.99-2.03
Ta  0.2525  0.3522  0.1987  6 O 1.99-2.03
Ta  0.2538  0.1532  0.8031  6 O 1.98-2.04
Ta  0.7495  0.2520  0.0013  6 O 1.99-2.03
Ta  0.7462  0.8468  0.1969  6 O 1.98-2.04
Ta  0.7484  0.4512  0.3971  6 O 1.99-2.03
Ta  0.7511  0.0501  0.6004  6 O 2.00-2.02

Entry 2:
Density functional theory data (PBE-GGA) for a relaxed KTa2O2 crystal.

- energy relative to the elements, uncorrected (eV/atom) = -0.07
- ΔE to the lowest computed polymorph (eV per atom) = 0.800
- symmetry = No. 127

a b c (Å): 9.2575 9.2575 2.7799
angles (deg): 90.00 90.00 90.00
Closest atoms and distances in Å follow each position.
Fractional positions:
O  0.9100  0.5900  0.0000  4 Ta 2.21, 1 O 2.36
O  0.0900  0.4100  0.0000  4 Ta 2.21, 1 O 2.36
O  0.4100  0.9100  0.0000  4 Ta 2.21, 1 O 2.36
O  0.5900  0.0900  0.0000  4 Ta 2.21, 1 O 2.36
Ta  0.5957  0.9043  0.5000  4 O 2.21
Ta  0.0957  0.5957  0.5000  4 O 2.21
Ta  0.9043  0.4043  0.5000  4 O 2.21
Ta  0.4043  0.0957  0.5000  4 O 2.21
K  0.0000  0.0000  0.0000  2 K 2.78
K  0.5000  0.5000  0.0000  2 K 2.78

Entry 3:
Density functional theory data (PBE-GGA) for a relaxed K2Ta2O5 crystal.

- energy relative to the elements, uncorrected (eV/atom) = -2.28
- symmetry = No. 74

a b c (Å): 8.9943 8.9943 8.9943
angles (deg): 142.80 142.62 53.76
Closest atoms and distances in Å follow each position.
Fractional positions:
O  0.7574  0.2480  0.0094  2 Ta 2.03
O  0.3818  0.3831  0.0203  2 Ta 1.97-2.05
O  0.7614  0.7520  0.5094  2 Ta 2.03
O  0.6372  0.6169  0.9987  2 Ta 1.97-2.05
O  0.8818  0.8615  0.9987  2 Ta 1.97-2.05
O  0.0098  0.9998  0.5097  2 Ta 1.95
O  0.5098  0.0002  0.0100  2 Ta 1.95
O  0.1372  0.1385  0.0203  2 Ta 1.97-2.05
O  0.2574  0.2480  0.5094  2 Ta 2.03
O  0.2614  0.7520  0.0094  2 Ta 2.03
Ta  0.7597  0.7713  0.0310  4 O 1.95-1.97
Ta  0.5095  0.5000  0.0095  6 O 2.03-2.05
Ta  0.0095  0.0000  0.0095  6 O 2.03-2.05
Ta  0.2597  0.2287  0.9884  4 O 1.95-1.97
K  0.3890  0.8767  0.5068  10 O 2.79-2.95
K  0.6301  0.1233  0.5123  10 O 2.79-2.95
K  0.8890  0.3822  0.5123  10 O 2.79-2.95
K  0.1301  0.6178  0.5068  10 O 2.79-2.95

Entry 4:
Density functional theory data (PBE-GGA) for a relaxed K4TbTa3O12 crystal.

- energy relative to the elements, uncorrected (eV/atom) = -2.48
- symmetry = No. 229

a b c (Å): 7.1973 7.1973 7.1973
angles (deg): 109.47 109.47 109.47
Closest atoms and distances in Å follow each position.
Fractional positions:
Ta  0.0000  0.5000  0.5000  6 O 1.92-2.08
Ta  0.5000  0.5000  0.0000  6 O 1.92-2.08
Ta  0.5000  0.0000  0.5000  6 O 1.92-2.08
O  0.2684  0.0000  0.2684  1 Ta 1.92
O  0.0000  0.2684  0.2684  1 Ta 1.92
O  0.7500  0.2500  0.5000  2 Ta 2.08
O  0.7500  0.5000  0.2500  2 Ta 2.08
O  0.2500  0.7500  0.5000  2 Ta 2.08
O  0.7316  0.7316  0.0000  1 Ta 1.92
O  0.5000  0.7500  0.2500  2 Ta 2.08
O  0.5000  0.2500  0.7500  2 Ta 2.08
O  0.2500  0.5000  0.7500  2 Ta 2.08
O  0.2684  0.2684  0.0000  1 Ta 1.92
O  0.7316  0.0000  0.7316  1 Ta 1.92
O  0.0000  0.7316  0.7316  1 Ta 1.92
K  0.5000  0.0000  0.0000  12 O 2.94
K  0.0000  0.0000  0.5000  12 O 2.94
K  0.5000  0.5000  0.5000  12 O 2.94
K  0.0000  0.5000  0.0000  12 O 2.94
Tb  0.0000  0.0000  0.0000  6 O 2.23

Entry 5:
Density functional theory data (PBE-GGA) for a relaxed K2TaTe3O12 crystal.

- energy relative to the elements, uncorrected (eV/atom) = -1.54
- symmetry = No. 166

a b c (Å): 7.3709 7.3709 7.3709
angles (deg): 59.92 59.92 59.92
Closest atoms and distances in Å follow each position.
Fractional positions:
K  0.3735  0.3735  0.3735  6 O 3.16-3.18
K  0.6265  0.6265  0.6265  6 O 3.16-3.18
O  0.0724  0.6772  0.6772  2 Te 1.99
O  0.9322  0.3205  0.9322  1 Te 1.96, 1 Ta 1.99
O  0.6772  0.0724  0.6772  2 Te 1.99
O  0.0678  0.6795  0.0678  1 Te 1.96, 1 Ta 1.99
O  0.6795  0.0678  0.0678  1 Te 1.96, 1 Ta 1.99
O  0.9276  0.3228  0.3228  2 Te 1.99
O  0.0678  0.0678  0.6795  1 Te 1.96, 1 Ta 1.99
O  0.3228  0.9276  0.3228  2 Te 1.99
O  0.6772  0.6772  0.0724  2 Te 1.99
O  0.3228  0.3228  0.9276  2 Te 1.99
O  0.3205  0.9322  0.9322  1 Te 1.96, 1 Ta 1.99
O  0.9322  0.9322  0.3205  1 Te 1.96, 1 Ta 1.99
Ta  0.0000  0.0000  0.0000  6 O 1.99
Te  0.0000  0.5000  0.0000  6 O 1.96-1.99
Te  0.0000  0.0000  0.5000  6 O 1.96-1.99
Te  0.5000  0.0000  0.0000  6 O 1.96-1.99

Entry 6:
Density functional theory data (PBE-GGA) for a relaxed KTaTe2O8 crystal.

- energy relative to the elements, uncorrected (eV/atom) = -1.44
- symmetry = No. 164

a b c (Å): 6.1033 6.1033 7.4334
angles (deg): 90.00 90.00 120.00
Closest atoms and distances in Å follow each position.
Fractional positions:
O  0.3333  0.6667  0.5412  1 Te 1.81
O  0.8511  0.1489  0.1642  1 Te 1.99, 1 Ta 1.99
O  0.1489  0.8511  0.8358  1 Te 1.99, 1 Ta 1.99
O  0.6667  0.3333  0.4588  1 Te 1.81
O  0.7023  0.8511  0.8358  1 Te 1.99, 1 Ta 1.99
O  0.8511  0.7023  0.1642  1 Te 1.99, 1 Ta 1.99
O  0.1489  0.2977  0.8358  1 Te 1.99, 1 Ta 1.99
O  0.2977  0.1489  0.1642  1 Te 1.99, 1 Ta 1.99
Te  0.6667  0.3333  0.2154  4 O 1.81-1.99
Te  0.3333  0.6667  0.7846  4 O 1.81-1.99
Ta  0.0000  0.0000  0.0000  6 O 1.99
K  0.0000  0.0000  0.5000  6 O 2.95

Entry 7:
Density functional theory data (PBE-GGA) for a relaxed K3ThTa2O9 crystal.

- energy relative to the elements, uncorrected (eV/atom) = -2.64
- symmetry = No. 164

a b c (Å): 5.9527 5.9527 7.3808
angles (deg): 90.00 90.00 120.00
Closest atoms and distances in Å follow each position.
Fractional positions:
Th  0.0000  0.0000  0.5000  6 O 2.30
K  0.6667  0.3333  0.3225  12 O 2.94-3.15
K  0.3333  0.6667  0.6775  12 O 2.94-3.15
K  0.0000  0.0000  0.0000  12 O 2.94-2.98
O  0.1776  0.3552  0.3110  1 Ta 1.96
O  0.3552  0.1776  0.6890  1 Ta 1.96
O  0.8224  0.6448  0.6890  1 Ta 1.96
O  0.0000  0.5000  0.0000  2 Ta 2.08
O  0.8224  0.1776  0.6890  1 Ta 1.96
O  0.5000  0.0000  0.0000  2 Ta 2.08
O  0.5000  0.5000  0.0000  2 Ta 2.08
O  0.6448  0.8224  0.3110  1 Ta 1.96
O  0.1776  0.8224  0.3110  1 Ta 1.96
Ta  0.3333  0.6667  0.1578  6 O 1.96-2.08
Ta  0.6667  0.3333  0.8422  6 O 1.96-2.08

Entry 8:
Density functional theory data (PBE-GGA) for a relaxed KThTa2O8 crystal.

- energy relative to the elements, uncorrected (eV/atom) = -2.66
- symmetry = No. 119

a b c (Å): 6.4648 6.4648 6.4648
angles (deg): 106.40 106.40 115.81
Closest atoms and distances in Å follow each position.
Fractional positions:
O  0.3117  0.1380  0.8264  1 Ta 1.87
O  0.8620  0.6883  0.1736  1 Ta 1.87
O  0.9029  0.6033  0.7004  1 Ta 1.87
O  0.3117  0.4853  0.1736  1 Ta 1.87
O  0.3967  0.0971  0.2996  1 Ta 1.87
O  0.9029  0.2025  0.2996  1 Ta 1.87
O  0.5147  0.6883  0.8264  1 Ta 1.87
O  0.7975  0.0971  0.7004  1 Ta 1.87
K  0.2500  0.7500  0.5000  8 O 2.56-2.85
Ta  0.7500  0.2500  0.5000  4 O 1.87
Ta  0.5000  0.5000  0.0000  4 O 1.87
Th  0.0000  0.0000  0.0000  8 O 2.41-2.53

The lowest energy relative to the elements, uncorrected belongs to which entry? KThTa2O8

What did the third record say?
Density functional theory data (PBE-GGA) for a relaxed K2Ta2O5 crystal.

- energy relative to the elements, uncorrected (eV/atom) = -2.28
- symmetry = No. 74

a b c (Å): 8.9943 8.9943 8.9943
angles (deg): 142.80 142.62 53.76
Closest atoms and distances in Å follow each position.
Fractional positions:
O  0.7574  0.2480  0.0094  2 Ta 2.03
O  0.3818  0.3831  0.0203  2 Ta 1.97-2.05
O  0.7614  0.7520  0.5094  2 Ta 2.03
O  0.6372  0.6169  0.9987  2 Ta 1.97-2.05
O  0.8818  0.8615  0.9987  2 Ta 1.97-2.05
O  0.0098  0.9998  0.5097  2 Ta 1.95
O  0.5098  0.0002  0.0100  2 Ta 1.95
O  0.1372  0.1385  0.0203  2 Ta 1.97-2.05
O  0.2574  0.2480  0.5094  2 Ta 2.03
O  0.2614  0.7520  0.0094  2 Ta 2.03
Ta  0.7597  0.7713  0.0310  4 O 1.95-1.97
Ta  0.5095  0.5000  0.0095  6 O 2.03-2.05
Ta  0.0095  0.0000  0.0095  6 O 2.03-2.05
Ta  0.2597  0.2287  0.9884  4 O 1.95-1.97
K  0.3890  0.8767  0.5068  10 O 2.79-2.95
K  0.6301  0.1233  0.5123  10 O 2.79-2.95
K  0.8890  0.3822  0.5123  10 O 2.79-2.95
K  0.1301  0.6178  0.5068  10 O 2.79-2.95